The following is a DFT calculation (PBE-GGA) of a relaxed Rb2TcI6 crystal.

```
Rb2TcI6
1.0
8.191 0.000 0.000
4.095 7.093 0.000
4.095 2.364 6.688
Rb Tc I
2 1 6
Cartesian
4.095 2.364 1.672
12.286 7.093 5.016
0.000 0.000 0.000
8.191 2.249 1.591
8.191 7.208 5.097
6.043 5.969 1.591
10.338 3.489 5.097
6.043 3.489 5.097
10.338 5.969 1.591
```

Summary:
- electronic total energy (eV/atom) = -3.13
- total magnetization (μB/atom) = 0.340
- symmetry = No. 225
- formation energy from raw total energies (eV/atom) = -0.73

=====

The following is a DFT calculation (PBE-GGA) of a relaxed Rb2TiTcI crystal.

```
Rb2TiTcI
1.0
-1.818 1.188 -6.532
4.725 -1.337 -1.558
-2.055 -6.541 -0.617
I Tc Rb Ti
1 1 2 1
Cartesian
0.000 0.000 0.000
2.362 -0.669 -0.779
-1.027 -3.271 -0.309
-0.909 0.594 -3.266
0.426 -3.345 -4.354
```

Summary:
- electronic total energy (eV/atom) = -3.08
- total magnetization (μB/atom) = 0.006
- symmetry = No. 123
- formation energy from raw total energies (eV/atom) = 1.27